(1)
DFT (PBE) results for SmBe2Os after structural relaxation.

POSCAR file:
```
SmBe2Os
1.0
-1.9021 1.0448 -3.2564
1.6491 -0.5808 -3.5010
-2.1321 -4.2846 -2.4806
Be Os Sm
2 1 1
direct
0.3063 0.3063 0.0810
0.6937 0.6937 0.9190
0.0000 0.0000 0.0000
0.5000 0.5000 0.5000
```

Output
Space-group type = R-3m
VASP energy = -0.441 Ry/atom
Size of the total moment = 0.000 μB per atom

***

(2)
DFT (PBE) results for Pm4Dy2Er after structural relaxation.

POSCAR file:
```
Pm4Dy2Er
1.0
12.0253 -3.0743 -1.5485
-9.4104 8.0934 -1.5486
0.0180 0.0345 6.7881
Pm Dy Er
8 4 2
direct
0.1512 0.0413 0.1058
0.5997 0.5623 0.6390
0.5623 0.5997 0.1390
0.7953 0.1851 0.3947
0.1851 0.7952 0.8947
0.1736 0.7108 0.3619
0.7109 0.1736 0.8619
0.0413 0.1512 0.6058
0.3020 0.6218 0.9506
0.9212 0.1014 0.0494
0.6218 0.3020 0.4506
0.1014 0.9212 0.5494
0.6727 0.4228 0.0001
0.4228 0.6727 0.5001
```

Output
Space-group type = Fdd2
VASP energy = -0.340 Ry/atom
Size of the total moment = 0.000 μB per atom

***

(3)
DFT (PBE) results for Cr2IrPdC after structural relaxation.

POSCAR file:
```
Cr2IrPdC
1.0
-2.2243 3.0069 2.4070
-1.3906 -3.4713 3.0515
3.6322 0.7128 2.4660
C Pd Ir Cr
1 1 1 2
direct
0.5000 0.5000 0.5000
0.0000 0.0000 0.0000
0.0000 0.5000 0.0000
0.0000 0.0000 0.5000
0.5000 0.0000 0.0000
```

Output
Space-group type = P4/mmm
VASP energy = -0.395 Ry/atom
Size of the total moment = 0.132 μB per atom

***

(4)
DFT (PBE) results for LaIrRh2 after structural relaxation.

POSCAR file:
```
LaIrRh2
1.0
4.5773 0.0000 0.0380
0.0000 5.3528 0.0000
-0.0276 -2.6764 3.3167
Rh Ir La
2 1 1
direct
0.0000 0.8064 0.6127
0.0000 0.1936 0.3873
0.5000 0.0000 0.0000
0.5000 0.5000 0.0000
```

Output
Space-group type = Cmmm
VASP energy = -0.529 Ry/atom
Size of the total moment = 0.000 μB per atom

***

(5)
DFT (PBE) results for ZnReSe3 after structural relaxation.

POSCAR file:
```
ZnReSe3
1.0
4.9227 0.0000 0.0000
0.0000 4.9227 0.0000
0.0000 0.0000 4.9227
Se Re Zn
3 1 1
direct
0.0000 0.5000 0.0000
0.5000 0.0000 0.0000
0.0000 0.0000 0.5000
0.0000 0.0000 0.0000
0.5000 0.5000 0.5000
```

Output
Space-group type = Pm-3m
VASP energy = -0.319 Ry/atom
Size of the total moment = 0.000 μB per atom

***

(6)
DFT (PBE) results for Pm2Sb3Pt4Au after structural relaxation.

POSCAR file:
```
Pm2Sb3Pt4Au
1.0
-3.9741 -1.5406 1.6460
2.2473 -2.9739 2.6423
0.4213 7.2579 7.8104
Pm Pt Au Sb
2 4 1 3
direct
0.0000 0.5000 0.7549
0.5000 0.0000 0.2451
0.0000 0.0000 0.0000
0.5000 0.5000 0.0000
0.5000 0.0000 0.6323
0.0000 0.5000 0.3677
0.5000 0.5000 0.5000
0.0000 0.0000 0.5000
0.0000 0.5000 0.1302
0.5000 0.0000 0.8698
```

Output
Space-group type = P-4m2
VASP energy = -0.418 Ry/atom
Size of the total moment = 0.000 μB per atom

***

(7)
DFT (PBE) results for Ac2PuTe4 after structural relaxation.

POSCAR file:
```
Ac2PuTe4
1.0
-1.4697 -4.2832 -7.2101
3.5290 -5.2071 5.7379
-7.3612 3.0145 3.0359
Te Ac Pu
8 4 2
direct
0.9695 0.6033 0.7219
0.1162 0.8967 0.3686
0.7805 0.2524 0.8838
0.6314 0.7476 0.5281
0.1186 0.3967 0.3662
0.6338 0.7524 0.0305
0.4719 0.1033 0.2195
0.2781 0.2476 0.8814
0.2514 0.6264 0.1250
0.4986 0.3736 0.6250
0.8750 0.1264 0.5014
0.3750 0.8736 0.7486
0.7500 0.5000 0.2500
0.0000 0.0000 0.0000
```

Output
Space-group type = I-42d
VASP energy = -0.474 Ry/atom
Size of the total moment = 0.857 μB per atom

***

(8)
DFT (PBE) results for PmYGe2Pd5 after structural relaxation.

POSCAR file:
```
PmYGe2Pd5
1.0
-0.2235 1.3932 -4.0232
0.4780 -3.9951 -1.4100
-9.0733 -1.1258 0.1142
Ge Pm Pd Y
2 1 5 1
direct
0.5000 0.5000 0.8659
0.5000 0.5000 0.1341
0.0000 0.0000 0.5000
0.0000 0.5000 0.2722
0.0000 0.5000 0.7278
0.5000 0.0000 0.2722
0.5000 0.0000 0.7278
0.5000 0.5000 0.5000
0.0000 0.0000 0.0000
```

Output
Space-group type = P4/mmm
VASP energy = -0.439 Ry/atom
Size of the total moment = 0.000 μB per atom

***

(9)
DFT (PBE) results for TiZnNi2H after structural relaxation.

POSCAR file:
```
TiZnNi2H
1.0
3.7428 0.0000 0.0000
0.0000 3.7428 0.0000
0.0000 0.0000 3.8495
H Ti Ni Zn
1 1 2 1
direct
0.0000 0.0000 0.0000
0.0000 0.0000 0.5000
0.5000 0.0000 0.0000
0.0000 0.5000 0.0000
0.5000 0.5000 0.5000
```

Output
Space-group type = P4/mmm
VASP energy = -0.368 Ry/atom
Size of the total moment = 0.001 μB per atom

***

(10)
DFT (PBE) results for DyHg2P2Pt7 after structural relaxation.

POSCAR file:
```
DyHg2P2Pt7
1.0
-2.5193 2.8213 1.2465
-2.2094 -0.5253 -3.2716
-10.2347 -8.8957 5.8871
P Hg Dy Pt
2 2 1 7
direct
0.6224 0.6224 0.7584
0.3776 0.3776 0.2416
0.7929 0.7929 0.4106
0.2071 0.2071 0.5894
0.0000 0.0000 0.0000
0.0767 0.5765 0.8482
0.3008 0.3008 0.3945
0.5000 0.5000 0.0000
0.6992 0.6992 0.6055
0.5765 0.0767 0.8482
0.9233 0.4235 0.1518
0.4235 0.9233 0.1518
```

Output
Space-group type = C2/m
VASP energy = -0.397 Ry/atom
Size of the total moment = 0.000 μB per atom

***

(11)
DFT (PBE) results for MgRe2Se after structural relaxation.

POSCAR file:
```
MgRe2Se
1.0
2.9910 0.0000 0.0000
0.0000 2.9910 0.0000
0.0000 0.0000 7.6775
Se Mg Re
1 1 2
direct
0.0000 0.0000 0.4533
0.5000 0.5000 0.7803
0.5000 0.5000 0.2406
0.0000 0.0000 0.0257
```

Output
Space-group type = P4mm
VASP energy = -0.540 Ry/atom
Size of the total moment = 0.000 μB per atom

***

(12)
DFT (PBE) results for Mg2ZnW after structural relaxation.

POSCAR file:
```
Mg2ZnW
1.0
5.6723 0.0032 -0.0027
2.8230 4.9199 0.0027
-3.5723 -3.6269 2.5018
Mg W Zn
2 1 1
direct
0.0154 0.0154 0.0000
0.7432 0.2432 0.5000
0.4847 0.4847 0.0000
0.2567 0.7567 0.5000
```

Output
Space-group type = Imm2
VASP energy = -0.291 Ry/atom
Size of the total moment = 0.000 μB per atom